# PBE-GGA Tl4CrTe, optimized geometry
data_Tl4CrTe
_symmetry_space_group_name_H-M 'P 1'
_symmetry_Int_Tables_number 1
_cell_length_a 6.422
_cell_length_b 6.422
_cell_length_c 6.422
_cell_angle_alpha 60.00
_cell_angle_beta 60.00
_cell_angle_gamma 60.00
loop_
_symmetry_equiv_pos_as_xyz
'x,y,z'
loop_
_atom_site_label
_atom_site_fract_x
_atom_site_fract_y
_atom_site_fract_z
_atom_site_occupancy
Tl1 0.375 0.375 0.875 1
Tl2 0.375 0.875 0.375 1
Tl3 0.375 0.375 0.375 1
Tl4 0.875 0.375 0.375 1
Cr1 0.750 0.750 0.750 1
Te1 0.000 0.000 0.000 1
# Formation energy from raw total energies: 0.4354 eV/atom
# Calculated volume: 187 Å³ per cell
# ρ: 8.8 Mg/m³

---

# PBE-GGA Tl2CrTe, optimized geometry
data_Tl2CrTe
_symmetry_space_group_name_H-M 'P 1'
_symmetry_Int_Tables_number 1
_cell_length_a 6.568
_cell_length_b 6.568
_cell_length_c 6.568
_cell_angle_alpha 147.71
_cell_angle_beta 131.88
_cell_angle_gamma 59.14
loop_
_symmetry_equiv_pos_as_xyz
'x,y,z'
loop_
_atom_site_label
_atom_site_fract_x
_atom_site_fract_y
_atom_site_fract_z
_atom_site_occupancy
Cr1 0.477 0.477 0.000 1
Te1 0.305 0.805 0.500 1
Tl1 0.710 0.210 0.500 1
Tl2 0.008 0.008 0.000 1
# Polymorph energy (0 for the lowest one): 9.6 kJ per mole of atoms
# Formation energy from raw total energies: 0.2309 eV/atom
# Calculated volume: 112 Å³ per cell
# ρ: 8.7 Mg/m³

---

# PBE-GGA Tl2CrTe, optimized geometry
data_Tl2CrTe
_symmetry_space_group_name_H-M 'P 1'
_symmetry_Int_Tables_number 1
_cell_length_a 4.402
_cell_length_b 4.395
_cell_length_c 5.735
_cell_angle_alpha 90.00
_cell_angle_beta 90.00
_cell_angle_gamma 90.00
loop_
_symmetry_equiv_pos_as_xyz
'x,y,z'
loop_
_atom_site_label
_atom_site_fract_x
_atom_site_fract_y
_atom_site_fract_z
_atom_site_occupancy
Cr1 0.500 0.000 0.500 1
Tl1 0.000 0.000 0.000 1
Tl2 0.500 0.500 0.000 1
Te1 0.000 0.500 0.500 1
# Polymorph energy (0 for the lowest one): 10.6 kJ per mole of atoms
# Formation energy from raw total energies: 0.2408 eV/atom
# Calculated volume: 111 Å³ per cell
# ρ: 8.8 Mg/m³

---

# PBE-GGA TlCrTe, optimized geometry
data_TlCrTe
_symmetry_space_group_name_H-M 'P 1'
_symmetry_Int_Tables_number 1
_cell_length_a 4.695
_cell_length_b 4.695
_cell_length_c 4.866
_cell_angle_alpha 90.00
_cell_angle_beta 90.00
_cell_angle_gamma 120.00
loop_
_symmetry_equiv_pos_as_xyz
'x,y,z'
loop_
_atom_site_label
_atom_site_fract_x
_atom_site_fract_y
_atom_site_fract_z
_atom_site_occupancy
Cr1 0.000 0.000 0.138 1
Tl1 0.333 0.667 0.680 1
Te1 0.667 0.333 0.182 1
# Polymorph energy (0 for the lowest one): 7.8 kJ per mole of atoms
# Formation energy from raw total energies: 0.1552 eV/atom
# Calculated volume: 93 Å³ per cell
# ρ: 6.9 Mg/m³

---

# PBE-GGA Tl2Cr2Te5, optimized geometry
data_Tl2Cr2Te5
_symmetry_space_group_name_H-M 'P 1'
_symmetry_Int_Tables_number 1
_cell_length_a 7.852
_cell_length_b 7.867
_cell_length_c 9.070
_cell_angle_alpha 115.70
_cell_angle_beta 90.00
_cell_angle_gamma 90.00
loop_
_symmetry_equiv_pos_as_xyz
'x,y,z'
loop_
_atom_site_label
_atom_site_fract_x
_atom_site_fract_y
_atom_site_fract_z
_atom_site_occupancy
Te1 0.343 0.737 0.790 1
Te2 0.343 0.947 0.210 1
Te3 0.000 0.000 0.000 1
Te4 0.157 0.447 0.210 1
Te5 0.657 0.263 0.210 1
Te6 0.657 0.053 0.790 1
Te7 0.500 0.500 0.000 1
Te8 0.843 0.763 0.210 1
Te9 0.157 0.237 0.790 1
Te10 0.843 0.553 0.790 1
Cr1 0.860 0.361 0.000 1
Cr2 0.140 0.639 0.000 1
Cr3 0.360 0.139 0.000 1
Cr4 0.640 0.861 0.000 1
Tl1 0.500 0.712 0.424 1
Tl2 0.000 0.212 0.424 1
Tl3 0.500 0.288 0.576 1
Tl4 0.000 0.788 0.576 1
# Formation energy from raw total energies: -0.0102 eV/atom
# Calculated volume: 505 Å³ per cell
# ρ: 7.6 Mg/m³

---

# PBE-GGA TlCr4Te8, optimized geometry
data_TlCr4Te8
_symmetry_space_group_name_H-M 'P 1'
_symmetry_Int_Tables_number 1
_cell_length_a 7.568
_cell_length_b 7.568
_cell_length_c 9.620
_cell_angle_alpha 66.83
_cell_angle_beta 66.83
_cell_angle_gamma 60.00
loop_
_symmetry_equiv_pos_as_xyz
'x,y,z'
loop_
_atom_site_label
_atom_site_fract_x
_atom_site_fract_y
_atom_site_fract_z
_atom_site_occupancy
Te1 0.729 0.229 0.813 1
Te2 0.229 0.729 0.813 1
Te3 0.771 0.771 0.187 1
Te4 0.730 0.730 0.811 1
Te5 0.229 0.229 0.813 1
Te6 0.271 0.771 0.187 1
Te7 0.270 0.270 0.189 1
Te8 0.771 0.271 0.187 1
Tl1 0.500 0.500 0.500 1
Cr1 0.000 0.000 0.000 1
Cr2 0.500 0.500 0.000 1
Cr3 0.000 0.500 0.000 1
Cr4 0.500 0.000 0.000 1
# Formation energy from raw total energies: -0.2100 eV/atom
# Calculated volume: 425 Å³ per cell
# ρ: 5.6 Mg/m³

---

formation energy from raw total energies of number 5 (Tl2Cr2Te5)? -0.0102 eV/atom

---

Which of these has the lowest ρ? TlCr4Te8

---

Which value of formation energy from raw total energies does entry 4 give? 0.1552 eV/atom

---

What is the formula in the third record? Tl2CrTe